Sb2SO3, relaxed, DFT PBE; uncorrected formation energy = -0.845 eV per atom
1.0
7.227 -1.784 0.000
7.227 1.784 0.000
-6.722 0.000 8.294
Sb S O
4 2 6
Direct
0.018 0.018 0.297
0.292 0.292 0.297
0.708 0.708 0.703
0.982 0.982 0.703
0.405 0.405 0.092
0.595 0.595 0.908
0.108 0.108 0.667
0.163 0.163 0.321
0.416 0.416 0.548
0.584 0.584 0.452
0.837 0.837 0.679
0.892 0.892 0.333


K3CrOs, relaxed, DFT PBE; energy above the most stable polymorph in this dataset = 0.000 eV/atom; formation energy from the elements = 1.65 eV per atom
1.0
6.216 0.000 0.000
0.000 6.216 0.000
0.000 0.000 6.216
K Cr Os
3 1 1
Direct
0.000 0.000 0.500
0.000 0.500 0.000
0.500 0.000 0.000
0.500 0.500 0.500
0.000 0.000 0.000


ZnGa2Ag, relaxed, DFT PBE; formation energy from the elements = 0.05 eV per atom
1.0
4.075 0.000 0.000
0.000 4.075 0.000
0.000 0.000 4.145
Zn Ga Ag
1 2 1
Direct
0.000 0.000 0.000
0.000 0.500 0.500
0.500 0.000 0.500
0.500 0.500 0.000


ScZnFe2, relaxed, DFT PBE; formation energy from the elements = -0.08 eV per atom
1.0
3.054 0.000 0.000
0.000 3.054 0.000
0.000 0.000 6.344
Sc Zn Fe
1 1 2
Direct
0.000 0.000 0.000
0.500 0.500 0.313
0.000 0.000 0.542
0.500 0.500 0.730